(1)
{
  "formula": "Er2Tl2In",
  "functional": "GGA-PBE",
  "state": "optimized geometry",
  "lattice": [[5.0559, 0.0000, 0.0000], [-2.5279, 4.3785, 0.0000], [0.0000, 0.0000, 12.4861]],
  "species": ["Tl", "Tl", "Er", "Er", "In", "Tl", "Er", "Er", "Tl", "In"],
  "fractional_positions": [[0.6667, 0.3333, 0.7500], [0.0000, 0.0000, 0.0000], [0.6667, 0.3333, 0.0993], [0.6667, 0.3333, 0.4007], [0.0000, 0.0000, 0.7500], [0.3333, 0.6667, 0.2500], [0.3333, 0.6667, 0.9007], [0.3333, 0.6667, 0.5993], [0.0000, 0.0000, 0.5000], [0.0000, 0.0000, 0.2500]],
  "de_polymorph_ev_per_fu": 0.00,
  "delta_e_f_ev_per_atom": -0.179,
  "total_energy_ev_per_atom": -3.499,
  "magnetic_moment_mub_per_atom": 0.00,
  "space_group": "P6_3/mmc"
}

(2)
{
  "formula": "Hf8Zn2Re",
  "functional": "GGA-PBE",
  "state": "optimized geometry",
  "lattice": [[-3.5497, 2.0332, 2.3441], [-2.9093, -6.3011, 1.0600], [6.5215, 1.1714, 4.1180]],
  "species": ["Zn", "Hf", "Re", "Hf", "Hf", "Hf", "Zn", "Hf", "Hf", "Hf", "Hf"],
  "fractional_positions": [[0.8138, 0.3449, 0.6277], [0.6688, 0.9315, 0.3376], [0.5000, 0.0000, 0.0000], [0.1813, 0.2567, 0.3625], [0.4057, 0.5637, 0.8114], [0.9718, 0.2075, 0.9435], [0.1862, 0.6551, 0.3723], [0.3312, 0.0685, 0.6624], [0.8187, 0.7433, 0.6375], [0.5943, 0.4363, 0.1886], [0.0282, 0.7925, 0.0565]],
  "delta_e_f_ev_per_atom": -0.044,
  "total_energy_ev_per_atom": -8.646,
  "magnetic_moment_mub_per_atom": 0.00,
  "space_group": "C2/m"
}

(3)
{
  "formula": "LiSm2PaO6",
  "functional": "GGA-PBE",
  "state": "optimized geometry",
  "lattice": [[5.9099, 0.0003, 0.0001], [2.9552, 5.1183, 0.0000], [2.9549, 1.7065, 5.0551]],
  "species": ["O", "O", "Sm", "O", "Sm", "Li", "Pa", "O", "O", "O"],
  "fractional_positions": [[0.1294, 0.4154, 0.7691], [0.6862, 0.1295, 0.7691], [0.0261, 0.0262, 0.9215], [0.9417, 0.6028, 0.2469], [0.5300, 0.5299, 0.4101], [0.8077, 0.8071, 0.5774], [0.3139, 0.3139, 0.0583], [0.4152, 0.6862, 0.7691], [0.2087, 0.9417, 0.2468], [0.6027, 0.2087, 0.2468]],
  "total_energy_ev_per_atom": -8.278,
  "formation_energy_uncorrected_ev_per_atom": -3.218,
  "magnetic_moment_mub_per_atom": 0.00,
  "space_group": "R3"
}

(4)
{
  "formula": "Zn2CrCuTc",
  "functional": "GGA-PBE",
  "state": "optimized geometry",
  "lattice": [[4.2690, 0.0000, 0.0000], [0.0000, 4.6423, 0.0000], [0.0000, 0.0000, 4.2690]],
  "species": ["Cr", "Tc", "Cu", "Zn", "Zn"],
  "fractional_positions": [[0.5000, 0.5000, 0.5000], [0.0000, 0.5000, 0.0000], [0.0000, 0.0000, 0.0000], [0.0000, 0.0000, 0.5000], [0.5000, 0.0000, 0.0000]],
  "delta_e_f_ev_per_atom": 1.299,
  "total_energy_ev_per_atom": -4.028,
  "magnetic_moment_mub_per_atom": 0.15,
  "space_group": "P4/mmm"
}

(5)
{
  "formula": "AgHW2",
  "functional": "GGA-PBE",
  "state": "optimized geometry",
  "lattice": [[5.5469, 0.0000, 0.0000], [0.0000, 5.5469, 0.0000], [2.7734, 2.7734, 3.9289]],
  "species": ["Ag", "W", "H", "W", "H", "W", "Ag", "W"],
  "fractional_positions": [[0.7500, 0.2500, 0.5000], [0.8750, 0.6246, 0.7500], [0.2500, 0.7500, 0.5000], [0.3746, 0.1250, 0.2500], [0.5000, 0.5000, 0.0000], [0.3750, 0.6254, 0.7500], [0.0000, 0.0000, 0.0000], [0.3754, 0.6250, 0.2500]],
  "de_polymorph_ev_per_fu": 0.00,
  "total_energy_ev_per_atom": -7.034,
  "magnetic_moment_mub_per_atom": 0.00,
  "space_group": "Fd-3m"
}

(6)
{
  "formula": "Fe2AgBr",
  "functional": "GGA-PBE",
  "state": "optimized geometry",
  "lattice": [[-2.7108, -3.3608, 2.9311], [-1.1803, -4.5597, -2.2474], [4.3089, 2.8811, 0.6064]],
  "species": ["Ag", "Fe", "Fe", "Br"],
  "fractional_positions": [[0.2500, 0.7500, 0.5000], [0.5000, 0.5000, 0.0000], [0.0000, 0.0000, 0.0000], [0.7500, 0.2500, 0.5000]],
  "de_polymorph_ev_per_fu": 1.76,
  "total_energy_ev_per_atom": -4.581,
  "formation_energy_uncorrected_ev_per_atom": 0.782,
  "magnetic_moment_mub_per_atom": 1.51,
  "space_group": "I4/mmm"
}

(7)
{
  "formula": "NaDy2Ag",
  "functional": "GGA-PBE",
  "state": "optimized geometry",
  "lattice": [[3.5455, 0.0000, 0.0000], [0.0000, 3.5455, 0.0000], [0.0000, 0.0000, 9.4471]],
  "species": ["Dy", "Na", "Dy", "Ag"],
  "fractional_positions": [[0.0000, 0.0000, 0.8077], [0.5000, 0.5000, 0.5000], [0.0000, 0.0000, 0.1923], [0.5000, 0.5000, 0.0000]],
  "de_polymorph_ev_per_fu": 0.00,
  "delta_e_f_ev_per_atom": 0.030,
  "total_energy_ev_per_atom": -3.314,
  "magnetic_moment_mub_per_atom": 0.00,
  "space_group": "P4/mmm"
}

(8)
{
  "formula": "TiBe9Au2",
  "functional": "GGA-PBE",
  "state": "optimized geometry",
  "lattice": [[4.4395, 0.0000, 0.0000], [-2.2197, 3.8447, 0.0000], [0.0000, 0.0000, 14.3790]],
  "species": ["Ti", "Be", "Au", "Au", "Be", "Be", "Be", "Be", "Be", "Au", "Be", "Be", "Be", "Be", "Be", "Be", "Be", "Au", "Ti", "Be", "Be", "Be", "Be", "Be"],
  "fractional_positions": [[0.3333, 0.6667, 0.7500], [0.1654, 0.8346, 0.1303], [0.6667, 0.3333, 0.0477], [0.3333, 0.6667, 0.5477], [0.0000, 0.0000, 0.7500], [0.6693, 0.8346, 0.1303], [0.3307, 0.1654, 0.6303], [0.0000, 0.0000, 0.5000], [0.3307, 0.1654, 0.8697], [0.6667, 0.3333, 0.4523], [0.1654, 0.8346, 0.3697], [0.3333, 0.6667, 0.2500], [0.8346, 0.6693, 0.8697], [0.6667, 0.3333, 0.7500], [0.8346, 0.6693, 0.6303], [0.1654, 0.3307, 0.3697], [0.0000, 0.0000, 0.2500], [0.3333, 0.6667, 0.9523], [0.6667, 0.3333, 0.2500], [0.8346, 0.1654, 0.8697], [0.6693, 0.8346, 0.3697], [0.8346, 0.1654, 0.6303], [0.1654, 0.3307, 0.1303], [0.0000, 0.0000, 0.0000]],
  "delta_e_f_ev_per_atom": -0.181,
  "total_energy_ev_per_atom": -4.180,
  "magnetic_moment_mub_per_atom": 0.08,
  "space_group": "P6_3/mmc"
}

(9)
{
  "formula": "Ba3Hg4Pd4",
  "functional": "GGA-PBE",
  "state": "optimized geometry",
  "lattice": [[-0.5895, 4.6328, 0.9661], [-3.5239, -1.0117, 2.7012], [10.9048, -2.9990, 9.2642]],
  "species": ["Pd", "Hg", "Hg", "Hg", "Pd", "Ba", "Hg", "Ba", "Pd", "Ba", "Pd"],
  "fractional_positions": [[0.9001, 0.4001, 0.8002], [0.8036, 0.3036, 0.6073], [0.4475, 0.4475, 0.8950], [0.5525, 0.5525, 0.1050], [0.7477, 0.7477, 0.4954], [0.0000, 0.0000, 0.0000], [0.1964, 0.6964, 0.3927], [0.3479, 0.8479, 0.6958], [0.2523, 0.2523, 0.5046], [0.6521, 0.1521, 0.3042], [0.0999, 0.5999, 0.1998]],
  "de_polymorph_ev_per_fu": 0.20,
  "delta_e_f_ev_per_atom": -0.473,
  "total_energy_ev_per_atom": -2.995,
  "magnetic_moment_mub_per_atom": 0.00,
  "space_group": "Immm"
}

(10)
{
  "formula": "HfZrHg2",
  "functional": "GGA-PBE",
  "state": "optimized geometry",
  "lattice": [[-2.8180, 1.7771, 1.0664], [0.4656, -1.2111, 3.2485], [4.0584, 5.5442, 1.4854]],
  "species": ["Hf", "Hg", "Zr", "Hg"],
  "fractional_positions": [[0.5000, 0.5000, 0.0000], [0.0000, 0.0000, 0.7561], [0.5000, 0.5000, 0.5000], [0.0000, 0.0000, 0.2439]],
  "de_polymorph_ev_per_fu": 0.13,
  "delta_e_f_ev_per_atom": -0.075,
  "total_energy_ev_per_atom": -4.851,
  "magnetic_moment_mub_per_atom": 0.00,
  "space_group": "P4/mmm"
}

(11)
{
  "formula": "HfZr2Os4",
  "functional": "GGA-PBE",
  "state": "optimized geometry",
  "lattice": [[1.2085, -4.6223, -2.7918], [3.5466, 0.6116, 4.2033], [-5.1498, -0.3300, 1.9978]],
  "species": ["Os", "Os", "Os", "Zr", "Zr", "Hf", "Os"],
  "fractional_positions": [[0.5000, 0.5000, 0.5000], [0.0000, 0.0000, 0.5000], [0.0000, 0.5000, 0.0000], [0.5000, 0.5000, 0.0000], [0.5000, 0.0000, 0.5000], [0.0000, 0.0000, 0.0000], [0.5000, 0.0000, 0.0000]],
  "delta_e_f_ev_per_atom": 0.154,
  "total_energy_ev_per_atom": -10.128,
  "magnetic_moment_mub_per_atom": 0.00,
  "space_group": "I4/mmm"
}

(12)
{
  "formula": "Mn2Co21B6",
  "functional": "GGA-PBE",
  "state": "optimized geometry",
  "lattice": [[7.3712, 0.0000, 0.0000], [3.6856, 6.3837, 0.0000], [3.6856, 2.1279, 6.0186]],
  "species": ["Co", "Co", "B", "Co", "Co", "Co", "B", "Co", "Mn", "Co", "Co", "B", "B", "Co", "Co", "Co", "Mn", "Co", "Co", "Co", "B", "Co", "Co", "Co", "Co", "Co", "Co", "Co", "B"],
  "fractional_positions": [[0.6189, 0.6189, 0.1433], [0.0000, 0.6620, 0.0000], [0.2766, 0.7234, 0.7234], [0.3811, 0.3811, 0.8567], [0.0000, 0.0000, 0.0000], [0.6189, 0.6189, 0.6189], [0.7234, 0.2766, 0.2766], [0.8567, 0.3811, 0.3811], [0.7500, 0.7500, 0.7500], [0.6620, 0.0000, 0.3380], [0.0000, 0.0000, 0.3380], [0.2766, 0.2766, 0.7234], [0.2766, 0.7234, 0.2766], [0.3380, 0.0000, 0.6620], [0.3380, 0.6620, 0.0000], [0.6620, 0.3380, 0.0000], [0.2500, 0.2500, 0.2500], [0.6620, 0.0000, 0.0000], [0.0000, 0.3380, 0.6620], [0.3811, 0.8567, 0.3811], [0.7234, 0.2766, 0.7234], [0.3811, 0.3811, 0.3811], [0.1433, 0.6189, 0.6189], [0.3380, 0.0000, 0.0000], [0.0000, 0.6620, 0.3380], [0.0000, 0.0000, 0.6620], [0.6189, 0.1433, 0.6189], [0.0000, 0.3380, 0.0000], [0.7234, 0.7234, 0.2766]],
  "delta_e_f_ev_per_atom": -0.165,
  "total_energy_ev_per_atom": -7.325,
  "magnetic_moment_mub_per_atom": 0.96,
  "space_group": "Fm-3m"
}